No. 1
Material: RbZn4AsP2
Method: DFT, PBE
State: relaxed

POSCAR file:
```
RbZn4AsP2
1.0
-1.425 1.650 -3.492
-2.002 -3.499 -0.837
-8.334 3.553 5.079
P As Zn Rb
2 1 4 1
Direct
0.500 0.500 0.286 P
0.500 0.500 0.714 P
0.000 0.000 0.000 As
0.500 0.000 0.838 Zn
0.000 0.500 0.838 Zn
0.500 0.000 0.162 Zn
0.000 0.500 0.162 Zn
0.000 0.000 0.500 Rb
```

Computed properties:
total energy	-2.9755	eV/atom

=====

No. 2
Material: ReAsP
Method: DFT, PBE
State: relaxed

POSCAR file:
```
ReAsP
1.0
4.148 0.000 0.000
-2.074 3.592 0.000
0.000 0.000 3.167
P Re As
1 1 1
Direct
0.667 0.333 0.500 P
0.333 0.667 0.500 Re
0.000 0.000 0.000 As
```

Computed properties:
E above lowest polymorph	1.48	eV per formula unit

=====

No. 3
Material: ReAsP2
Method: DFT, PBE
State: relaxed

POSCAR file:
```
ReAsP2
1.0
-5.732 -1.317 4.539
-4.963 -4.222 3.569
-3.383 -2.883 5.953
As Re P
1 1 2
Direct
0.755 0.755 0.755 As
0.502 0.502 0.502 Re
0.986 0.986 0.986 P
0.256 0.256 0.256 P
```

Computed properties:
total energy	-6.7387	eV/atom

=====

No. 4
Material: ReAsP
Method: DFT, PBE
State: relaxed

POSCAR file:
```
ReAsP
1.0
5.176 0.000 -1.327
0.000 2.975 0.000
-0.956 0.000 7.028
Re P As
2 2 2
Direct
0.585 0.250 0.170 Re
0.415 0.750 0.830 Re
0.281 0.250 0.562 P
0.719 0.750 0.438 P
0.103 0.250 0.206 As
0.897 0.750 0.794 As
```

Computed properties:
E above lowest polymorph	1.78	eV per formula unit

=====

The evaluated DOS at the Fermi energy for the records listed, in turn: 0.0753; 0.5031; 0.2589; 0.4619 states/eV/atom.
The evaluated magnetization for the records listed, in turn: 0.00; 0.00; 0.00; 0.00 μB per formula unit.